Record 1
Computed, not measured: a geometry-optimized Cs2WCl5 structure at the PBE-GGA level of DFT.

Cell: 7.800 7.801 7.375 Å, 121.93 121.93 90.00°
Positions (direct):
Cs (0.258, 0.758, 0.516)
Cs (0.758, 0.258, 0.516)
W (0.978, 0.978, 0.957)
Cl (0.792, 0.229, 0.021)
Cl (0.229, 0.229, 0.021)
Cl (0.792, 0.792, 0.021)
Cl (0.229, 0.792, 0.021)
Cl (0.740, 0.740, 0.481)

Properties
ΔE_f (raw): -10.141 eV/f.u.

Record 2
Computed, not measured: a geometry-optimized Na2LiCdBi2 structure at the PBE-GGA level of DFT.

Cell: 6.389 6.412 9.351 Å, 110.05 109.98 90.00°
Positions (direct):
Na (0.454, 0.177, 0.354)
Na (0.546, 0.823, 0.646)
Na (0.100, 0.323, 0.646)
Na (0.900, 0.677, 0.354)
Li (0.000, 0.750, 0.000)
Li (0.000, 0.250, 0.000)
Cd (0.500, 0.750, 0.000)
Cd (0.500, 0.250, 0.000)
Bi (0.892, 0.119, 0.238)
Bi (0.345, 0.619, 0.238)
Bi (0.655, 0.381, 0.762)
Bi (0.108, 0.881, 0.762)

Properties
formation enthalpy at 0 K: -0.32 eV per atom

Record 3
Computed, not measured: a geometry-optimized La2TmGe3Pd4 structure at the PBE-GGA level of DFT.

Cell: 4.335 4.335 11.171 Å, 90.00 90.00 90.00°
Positions (direct):
La (0.500, 0.000, 0.226)
La (0.000, 0.500, 0.774)
Tm (0.500, 0.500, 0.500)
Ge (0.000, 0.000, 0.500)
Ge (0.500, 0.000, 0.879)
Ge (0.000, 0.500, 0.121)
Pd (0.500, 0.500, 0.000)
Pd (0.000, 0.000, 0.000)
Pd (0.500, 0.000, 0.654)
Pd (0.000, 0.500, 0.346)

Properties
formation enthalpy at 0 K: -0.88 eV per atom